Entry 1:
{
  "formula": "KLiAg4",
  "functional": "SCAN",
  "state": "single point on PBEsol structure",
  "dos_ef_per_ev_cell": 1.32,
  "formation_enthalpy_0k_kj_per_mol_fu": -1.5,
  "lattice": [[5.6063, 0.0000, 0.0000], [2.8032, 4.8552, 0.0000], [2.8032, 1.6184, 4.5775]],
  "species": ["K", "Ag", "Ag", "Ag", "Ag", "Li"],
  "frac_coords": [[0.7500, 0.7500, 0.7500], [0.3745, 0.3745, 0.3745], [0.3745, 0.3745, 0.8766], [0.8766, 0.3745, 0.3745], [0.3745, 0.8766, 0.3745], [0.0000, 0.0000, 0.0000]]
}

Entry 2:
{
  "formula": "KLi3Ag",
  "functional": "SCAN",
  "state": "single point on PBEsol structure",
  "dos_ef_per_ev_cell": 2.34,
  "formation_enthalpy_0k_kj_per_mol_fu": 7.9,
  "lattice": [[-0.3740, 4.8501, -1.8090], [-3.0108, 1.2716, 4.0316], [4.2108, 1.3400, 2.7220]],
  "species": ["K", "Ag", "Li", "Li", "Li"],
  "frac_coords": [[0.5000, 0.5000, 0.5000], [0.0000, 0.0000, 0.0000], [0.0000, 0.5000, 0.0000], [0.0000, 0.0000, 0.5000], [0.5000, 0.0000, 0.0000]]
}

no.,spin magnetization (μB per cell),energy (eV/atom)
1,0.0,-22.700
2,0.0,-9.357